No. 1
# AcHfPt2

A relaxed structure of AcHfPt2 (PBE-GGA, Alexandria via LeMat-Bulk).

**Magnetic moment**: 0.000 μB per cell
**Polymorph energy (0 for the lowest one)**: 558 meV/atom
**Symmetry**: R-3m, No. 166
**ΔE_f**: -0.419 eV/atom
**Density of states at the Fermi level**: 0.708 states/eV/atom

Geometry as POSCAR:
```
AcHfPt2
1.0
1.882 1.087 8.973
-1.882 1.087 8.973
0.000 -2.174 8.973
Ac Hf Pt
1 1 2
direct
0.000 0.000 0.000 Ac
0.500 0.500 0.500 Hf
0.109 0.109 0.109 Pt
0.891 0.891 0.891 Pt
```


No. 2
# AcHfPt2

A relaxed structure of AcHfPt2 (PBE-GGA, Alexandria via LeMat-Bulk).

**Magnetic moment**: 0.000 μB per cell
**Polymorph energy (0 for the lowest one)**: 0 meV/atom
**Symmetry**: P4/mmm, No. 123
**ΔE_f**: -0.977 eV/atom
**Density of states at the Fermi level**: 0.709 states/eV/atom

Geometry as POSCAR:
```
AcHfPt2
1.0
3.442 0.000 0.000
0.000 3.442 0.000
0.000 0.000 7.546
Ac Hf Pt
1 1 2
direct
0.000 0.000 0.000 Ac
0.000 0.000 0.500 Hf
0.500 0.500 0.307 Pt
0.500 0.500 0.693 Pt
```


No. 3
# AcHfScPt2

A relaxed structure of AcHfScPt2 (PBE-GGA, Alexandria via LeMat-Bulk).

**Magnetic moment**: 0.000 μB per cell
**Symmetry**: I-4m2, No. 119
**ΔE_f**: -0.991 eV/atom
**Density of states at the Fermi level**: 1.034 states/eV/atom

Geometry as POSCAR:
```
AcHfScPt2
1.0
-2.301 2.301 5.631
2.301 -2.301 5.631
2.301 2.301 -5.631
Ac Hf Sc Pt
1 1 1 2
direct
0.000 0.000 0.000 Ac
0.750 0.250 0.500 Hf
0.250 0.750 0.500 Sc
0.377 0.377 0.000 Pt
0.623 0.623 0.000 Pt
```


No. 4
# AcHfSi2Pt2

A relaxed structure of AcHfSi2Pt2 (PBE-GGA, Alexandria via LeMat-Bulk).

**Magnetic moment**: 0.000 μB per cell
**Energy relative to the elements, uncorrected**: -1.062 eV/atom
**Symmetry**: P-3m1, No. 164
**Density of states at the Fermi level**: 0.395 states/eV/atom

Geometry as POSCAR:
```
AcHfSi2Pt2
1.0
4.318 0.000 0.000
-2.159 3.739 0.000
0.000 0.000 7.531
Ac Hf Si Pt
1 1 2 2
direct
0.000 0.000 0.000 Ac
0.000 0.000 0.500 Hf
0.333 0.667 0.703 Si
0.667 0.333 0.297 Si
0.333 0.667 0.317 Pt
0.667 0.333 0.683 Pt
```


No. 5
# Ac2HfSi3Pt4

A relaxed structure of Ac2HfSi3Pt4 (PBE-GGA, Alexandria via LeMat-Bulk).

**Magnetic moment**: 0.000 μB per cell
**Energy relative to the elements, uncorrected**: -1.030 eV/atom
**Symmetry**: P-4m2, No. 115
**Density of states at the Fermi level**: 0.534 states/eV/atom

Geometry as POSCAR:
```
Ac2HfSi3Pt4
1.0
4.428 0.000 0.000
0.000 4.428 0.000
0.000 0.000 10.356
Ac Hf Si Pt
2 1 3 4
direct
0.000 0.500 0.240 Ac
0.500 0.000 0.760 Ac
0.000 0.000 0.500 Hf
0.000 0.500 0.880 Si
0.500 0.000 0.120 Si
0.500 0.500 0.500 Si
0.000 0.000 0.000 Pt
0.000 0.500 0.641 Pt
0.500 0.000 0.359 Pt
0.500 0.500 0.000 Pt
```


No. 6
# Ac2HfZnPt6

A relaxed structure of Ac2HfZnPt6 (PBE-GGA, Alexandria via LeMat-Bulk).

**Magnetic moment**: 0.000 μB per cell
**Symmetry**: R-3m, No. 166
**ΔE_f**: -0.779 eV/atom
**Density of states at the Fermi level**: 0.395 states/eV/atom

Geometry as POSCAR:
```
Ac2HfZnPt6
1.0
2.915 1.683 8.074
-2.915 1.683 8.074
0.000 -3.366 8.074
Ac Hf Zn Pt
2 1 1 6
direct
0.212 0.212 0.212 Ac
0.788 0.788 0.788 Ac
0.000 0.000 0.000 Hf
0.500 0.500 0.500 Zn
0.255 0.255 0.740 Pt
0.255 0.740 0.255 Pt
0.260 0.745 0.745 Pt
0.740 0.255 0.255 Pt
0.745 0.260 0.745 Pt
0.745 0.745 0.260 Pt
```


| no. | volume (Å³ per cell) | density (g/cm³) |
| --- | --- | --- |
| 1 | 110.1 | 12.00 |
| 2 | 89.4 | 14.78 |
| 3 | 119.2 | 11.71 |
| 4 | 121.6 | 11.63 |
| 5 | 203.1 | 12.24 |
| 6 | 237.6 | 13.06 |